This record from Alexandria via LeMat-Bulk describes a geometry-optimized Rb2PaCuSe4 structure. The functional is PBE.

```
Rb2PaCuSe4
1.0
-5.395 0.008 6.322
6.715 -1.310 4.719
0.571 8.167 -2.402
Rb Pa Cu Se
4 2 2 8
Direct
0.500 0.000 0.000
0.500 0.000 0.500
0.000 0.000 0.500
0.500 0.500 0.000
0.000 0.500 0.000
0.000 0.500 0.500
0.500 0.500 0.500
0.000 0.000 0.000
0.168 0.684 0.838
0.816 0.332 0.662
0.184 0.668 0.338
0.832 0.316 0.162
0.829 0.781 0.033
0.719 0.671 0.467
0.281 0.329 0.533
0.171 0.219 0.967
```

E_form (uncorrected) in eV/atom: -0.994
DFT total energy in eV/atom: -4.68